SrGeTePb2 PBE-GGA relaxed; DOS(E_F) = 3.3 states/eV/cell; space group = P4/mmm (123); electronic total energy = -15.7 eV per cell; ΔE_f (raw) = 0.230 eV/atom; total magnetization = 0.0 μB per formula unit
1.0
6.054 0.000 0.000
0.000 6.054 0.000
0.000 0.000 5.340
Sr Ge Te Pb
1 1 1 2
Direct
0.000 0.000 0.000
0.500 0.500 0.000
0.500 0.500 0.500
0.000 0.500 0.500
0.500 0.000 0.500